DFT (PBE-GGA) results for an optimized crystal structure of DyFePt.

Unit cell a=6.410 b=6.410 c=6.410 alpha=90.00 beta=90.00 gamma=90.00
Space group F-43m (No. 216)
Unique sites:
Dy  0.000  0.000  0.000
Fe  0.000  0.000  0.500
Pt  0.250  0.250  0.250

ΔE_f, meV/atom: -293
Electronic total energy, eV per cell: -79.4